Below is crystalline Sm12CdRu6 at its relaxed geometry, with properties calculated at the PBE level.

The formation energy comes out at -0.21 eV/atom. Its electronic total energy is -6.17 eV per atom. The total moment comes out at 0.0 μB per cell. As for the space group: Im-3, No. 204.

abc: 8.7020 8.7020 8.7020
angles: 109.47 109.47 109.47
Atoms (fractional coordinates):
Sm: 0.1012 0.2982 0.8030
Sm: 0.1970 0.4952 0.2982
Sm: 0.1970 0.8988 0.7018
Sm: 0.2982 0.1970 0.4952
Sm: 0.2982 0.8030 0.1012
Sm: 0.4952 0.2982 0.1970
Sm: 0.5048 0.7018 0.8030
Sm: 0.7018 0.1970 0.8988
Sm: 0.7018 0.8030 0.5048
Sm: 0.8030 0.1012 0.2982
Sm: 0.8030 0.5048 0.7018
Sm: 0.8988 0.7018 0.1970
Cd: 0.0000 0.0000 0.0000
Ru: 0.1222 0.5000 0.6222
Ru: 0.3778 0.8778 0.5000
Ru: 0.5000 0.3778 0.8778
Ru: 0.5000 0.6222 0.1222
Ru: 0.6222 0.1222 0.5000
Ru: 0.8778 0.5000 0.3778